(1)
VASP calculation (GGA-PBE) on a geometry-optimized Ce3HoTm2Se6 structure.

Unit cell a=7.0533 b=7.0533 c=7.2653 alpha=99.31 beta=99.31 gamma=120.05
Last column: nearest neighbours and their distance in Å.
Fractional coordinates of all 12 atoms:
Ce (0.1656, 0.8344, 0.5000)  6 Se 2.98
Ce (0.8344, 0.1656, 0.5000)  6 Se 2.98
Ce (0.5000, 0.5000, 0.5000)  6 Se 2.97-2.98
Ho (0.0000, 0.0000, 0.0000)  6 Se 2.86
Tm (0.3332, 0.6668, 0.0000)  6 Se 2.84
Tm (0.6668, 0.3332, 0.0000)  6 Se 2.84
Se (0.9220, 0.5864, 0.7661)  2 Tm 2.84, 1 Ho 2.86, 3 Ce 2.98
Se (0.7419, 0.7419, 0.2329)  2 Tm 2.84, 1 Ho 2.86, 3 Ce 2.97-2.98
Se (0.0780, 0.4136, 0.2339)  2 Tm 2.84, 1 Ho 2.86, 3 Ce 2.98
Se (0.5864, 0.9220, 0.7661)  2 Tm 2.84, 1 Ho 2.86, 3 Ce 2.98
Se (0.2581, 0.2581, 0.7671)  2 Tm 2.84, 1 Ho 2.86, 3 Ce 2.97-2.98
Se (0.4136, 0.0780, 0.2339)  2 Tm 2.84, 1 Ho 2.86, 3 Ce 2.98

Output
**E_form (uncorrected)**: -1769 meV per atom
**Space-group type**: C2/m (12)

***

(2)
VASP calculation (GGA-PBE) on a geometry-optimized Pr8SmHo4 structure.

Unit cell a=7.3544 b=7.3542 c=10.5626 alpha=90.00 beta=110.38 gamma=120.00
Last column: nearest neighbours and their distance in Å.
Fractional coordinates of all 13 atoms:
Pr (0.5727, 0.7863, 0.3590)  9 Pr 3.74-3.88, 3 Ho 4.07
Pr (0.4273, 0.2137, 0.6410)  9 Pr 3.74-3.88, 3 Ho 4.07
Pr (0.4964, 0.2482, 0.2919)  1 Sm 3.07, 2 Pr 3.33, 1 Ho 3.42
Pr (0.9563, 0.2045, 0.7081)  1 Sm 3.07, 2 Pr 3.33, 1 Ho 3.42
Pr (0.5036, 0.7518, 0.7081)  1 Sm 3.07, 2 Pr 3.33, 1 Ho 3.42
Pr (0.9563, 0.7518, 0.7081)  1 Sm 3.07, 2 Pr 3.33, 1 Ho 3.42
Pr (0.0437, 0.2482, 0.2919)  1 Sm 3.07, 2 Pr 3.33, 1 Ho 3.42
Pr (0.0437, 0.7955, 0.2919)  1 Sm 3.07, 2 Pr 3.33, 1 Ho 3.42
Sm (0.0000, 0.5000, 0.5000)  6 Pr 3.07
Ho (0.0000, 0.0000, 0.0000)  6 Pr 3.42, 6 Ho 3.68
Ho (0.0000, 0.5000, 0.0000)  4 Pr 3.60, 6 Ho 3.68
Ho (0.5000, 0.5000, 0.0000)  4 Pr 3.60, 6 Ho 3.68
Ho (0.5000, 0.0000, 0.0000)  4 Pr 3.60, 6 Ho 3.68

Output
**Calculated formation energy**: 17.4 kJ/mol of atoms
**Space-group type**: R-3m (166)

***

(3)
VASP calculation (GGA-PBE) on a geometry-optimized NdScPt2 structure.

Unit cell a=4.9132 b=4.9132 c=4.9132 alpha=60.00 beta=60.00 gamma=60.00
Last column: nearest neighbours and their distance in Å.
Fractional coordinates of all 4 atoms:
Sc (0.5000, 0.5000, 0.5000)  8 Pt 3.01
Nd (0.0000, 0.0000, 0.0000)  8 Pt 3.01
Pt (0.2500, 0.2500, 0.2500)  4 Nd 3.01, 4 Sc 3.01
Pt (0.7500, 0.7500, 0.7500)  4 Nd 3.01, 4 Sc 3.01

Output
**Calculated formation energy**: -100.5 kJ/mol of atoms
**Space-group type**: Fm-3m (225)

***

(4)
VASP calculation (GGA-PBE) on a geometry-optimized Nd5Zn2Ga5 structure.

Unit cell a=4.5337 b=7.9971 c=8.6835 alpha=90.35 beta=74.87 gamma=73.53
Last column: nearest neighbours and their distance in Å.
Fractional coordinates of all 12 atoms:
Nd (0.0000, 0.5000, 0.5000)  4 Zn 3.19, 6 Ga 3.19-3.29
Nd (0.6859, 0.7110, 0.9171)  7 Ga 3.09-3.28, 3 Zn 3.09-3.19, 1 Nd 3.41
Nd (0.3615, 0.9527, 0.3243)  5 Ga 3.15-3.21, 1 Zn 3.17, 1 Nd 3.41
Nd (0.6385, 0.0473, 0.6757)  5 Ga 3.15-3.21, 1 Zn 3.17, 1 Nd 3.41
Nd (0.3141, 0.2890, 0.0829)  7 Ga 3.09-3.28, 3 Zn 3.09-3.19, 1 Nd 3.41
Zn (0.3900, 0.4587, 0.7614)  3 Ga 2.61-2.65
Zn (0.6100, 0.5413, 0.2386)  3 Ga 2.61-2.65
Ga (0.7017, 0.2387, 0.3579)  1 Zn 2.61
Ga (0.9310, 0.3043, 0.8336)  2 Zn 2.65, 1 Ga 2.82
Ga (0.0690, 0.6957, 0.1664)  2 Zn 2.65, 1 Ga 2.82
Ga (0.2983, 0.7613, 0.6421)  1 Zn 2.61
Ga (0.0000, 0.0000, 0.0000)  2 Ga 2.82

Output
**Calculated formation energy**: -47.9 kJ/mol of atoms
**Space-group type**: C2/m (12)

***

(5)
VASP calculation (GGA-PBE) on a geometry-optimized AcBePt3 structure.

Unit cell a=4.5374 b=4.5374 c=4.5374 alpha=90.00 beta=90.00 gamma=90.00
Last column: nearest neighbours and their distance in Å.
Fractional coordinates of all 5 atoms:
Be (0.0000, 0.0000, 0.0000)  6 Pt 2.27
Ac (0.5000, 0.5000, 0.5000)  12 Pt 3.21
Pt (0.0000, 0.5000, 0.0000)  2 Be 2.27
Pt (0.0000, 0.0000, 0.5000)  2 Be 2.27
Pt (0.5000, 0.0000, 0.0000)  2 Be 2.27

Output
**Calculated formation energy**: -75.5 kJ/mol of atoms
**Space-group type**: Pm-3m (221)

***

(6)
VASP calculation (GGA-PBE) on a geometry-optimized CoPt2Pb structure.

Unit cell a=4.6464 b=4.6464 c=4.7514 alpha=74.46 beta=74.46 gamma=45.98
Last column: nearest neighbours and their distance in Å.
Fractional coordinates of all 4 atoms:
Co (0.4845, 0.4845, 0.5743)  5 Pt 2.59-2.65, 1 Pb 2.87
Pb (0.2497, 0.2497, 0.2484)  5 Pt 2.77-2.87, 3 Co 2.87-2.97
Pt (0.0078, 0.0078, 0.9677)  2 Co 2.65, 3 Pt 2.76-2.80, 3 Pb 2.77-2.87
Pt (0.7581, 0.7581, 0.7095)  3 Co 2.59-2.60, 3 Pt 2.76-2.80, 2 Pb 2.86

Output
**Calculated formation energy**: 14.4 kJ/mol of atoms
**Space-group type**: Cm (8)

***

(7)
VASP calculation (GGA-PBE) on a geometry-optimized InNiSN2 structure.

Unit cell a=4.1499 b=4.1499 c=5.4188 alpha=90.00 beta=90.00 gamma=90.00
Last column: nearest neighbours and their distance in Å.
Fractional coordinates of all 5 atoms:
Ni (0.5000, 0.5000, 0.5000)  4 S 2.93
S (0.0000, 0.0000, 0.5000)  2 In 2.71, 4 Ni 2.93
N (0.0000, 0.5000, 0.0000)  2 In 2.07
N (0.5000, 0.0000, 0.0000)  2 In 2.07
In (0.0000, 0.0000, 0.0000)  4 N 2.07

Output
**E_form (uncorrected)**: 1755 meV per atom
**Space-group type**: P4/mmm (123)

***

(8)
VASP calculation (GGA-PBE) on a geometry-optimized Tb2YTe structure.

Unit cell a=3.9083 b=3.9083 c=10.0369 alpha=78.77 beta=78.77 gamma=60.00
Last column: nearest neighbours and their distance in Å.
Fractional coordinates of all 4 atoms:
Tb (0.0720, 0.0720, 0.7839)  3 Te 3.09
Tb (0.2615, 0.2615, 0.2155)  3 Te 3.09
Y (0.4997, 0.4997, 0.5008)  6 Tb 3.57-3.59, 6 Y 3.91
Te (0.6667, 0.6667, 0.9998)  6 Tb 3.09

Output
**E_form (uncorrected)**: -547 meV per atom
**Space-group type**: R3m (160)

***

Repeat the second record exactly.
VASP calculation (GGA-PBE) on a geometry-optimized Pr8SmHo4 structure.

Unit cell a=7.3544 b=7.3542 c=10.5626 alpha=90.00 beta=110.38 gamma=120.00
Last column: nearest neighbours and their distance in Å.
Fractional coordinates of all 13 atoms:
Pr (0.5727, 0.7863, 0.3590)  9 Pr 3.74-3.88, 3 Ho 4.07
Pr (0.4273, 0.2137, 0.6410)  9 Pr 3.74-3.88, 3 Ho 4.07
Pr (0.4964, 0.2482, 0.2919)  1 Sm 3.07, 2 Pr 3.33, 1 Ho 3.42
Pr (0.9563, 0.2045, 0.7081)  1 Sm 3.07, 2 Pr 3.33, 1 Ho 3.42
Pr (0.5036, 0.7518, 0.7081)  1 Sm 3.07, 2 Pr 3.33, 1 Ho 3.42
Pr (0.9563, 0.7518, 0.7081)  1 Sm 3.07, 2 Pr 3.33, 1 Ho 3.42
Pr (0.0437, 0.2482, 0.2919)  1 Sm 3.07, 2 Pr 3.33, 1 Ho 3.42
Pr (0.0437, 0.7955, 0.2919)  1 Sm 3.07, 2 Pr 3.33, 1 Ho 3.42
Sm (0.0000, 0.5000, 0.5000)  6 Pr 3.07
Ho (0.0000, 0.0000, 0.0000)  6 Pr 3.42, 6 Ho 3.68
Ho (0.0000, 0.5000, 0.0000)  4 Pr 3.60, 6 Ho 3.68
Ho (0.5000, 0.5000, 0.0000)  4 Pr 3.60, 6 Ho 3.68
Ho (0.5000, 0.0000, 0.0000)  4 Pr 3.60, 6 Ho 3.68

Output
**Calculated formation energy**: 17.4 kJ/mol of atoms
**Space-group type**: R-3m (166)